Record 1
The following is a DFT calculation (PBE) of crystalline CaAcPm2As4 at its relaxed geometry.

Cell: 4.3337 7.5647 7.4449 Å, 70.74 90.00 90.00°
Fractional positions:
Ac1 0.0000 0.5000 0.5000
As1 0.5000 0.2356 0.7590
As2 0.0000 0.2391 0.2498
As3 0.5000 0.7644 0.2410
As4 0.0000 0.7609 0.7502
Pm1 0.0000 0.0000 0.0000
Pm2 0.5000 0.0000 0.5000
Ca1 0.5000 0.5000 0.0000

Space-group type   P2/m
Energy of formation from the pure elements   -1.332 eV per atom


Record 2
The following is a DFT calculation (PBE) of crystalline Li2In2Si at its relaxed geometry.

Cell: 7.7625 7.7625 3.2666 Å, 90.00 90.00 90.00°
Fractional positions:
In1 0.3574 0.8574 0.0000
In2 0.6426 0.1426 0.0000
In3 0.1426 0.3574 0.0000
In4 0.8574 0.6426 0.0000
Si1 0.0000 0.0000 0.0000
Si2 0.5000 0.5000 0.0000
Li1 0.8415 0.3415 0.5000
Li2 0.6585 0.8415 0.5000
Li3 0.1585 0.6585 0.5000
Li4 0.3415 0.1585 0.5000

Uncorrected formation energy   50 meV/atom
Space-group type   P4/mbm
Polymorph energy (0 for the lowest one)   51 meV/atom


Record 3
The following is a DFT calculation (PBE) of crystalline PmGaHg at its relaxed geometry.

Cell: 3.5561 3.5561 6.2414 Å, 106.55 106.55 90.00°
Fractional positions:
Pm1 0.2783 0.2783 0.5566
Ga1 0.6078 0.6078 0.2156
Hg1 0.9639 0.9639 0.9278

Space-group type   I4mm
Energy of formation from the pure elements   -0.346 eV per atom
Polymorph energy (0 for the lowest one)   185 meV/atom


Record 4
The following is a DFT calculation (PBE) of crystalline TaCrOs2 at its relaxed geometry.

Cell: 9.1721 9.1721 9.1721 Å, 17.28 17.28 17.28°
Fractional positions:
Os1 0.0043 0.0043 0.0043
Os2 0.2524 0.2524 0.2524
Ta1 0.4981 0.4981 0.4981
Cr1 0.7452 0.7452 0.7452

Space-group type   R3m
Energy of formation from the pure elements   0.258 eV per atom